{"formula": "MgAgRu2", "functional": "SCAN", "state": "PBEsol geometry", "space_group": "Cm, No. 8", "formation_energy_ev_per_atom": 0.19, "rho_g_cm3": 9.3, "crystal_system": "monoclinic", "magnetic_moment_mub_per_fu": 0.00, "lattice_angstrom": [[4.4295, -1.3928, 0.0000], [4.4295, 1.3928, 0.0000], [-0.7559, 0.0000, 4.8507]], "species": ["Mg", "Ag", "Ru", "Ru"], "fractional_positions": [[0.0000, 0.0000, 0.0000], [0.7534, 0.7534, 0.2079], [0.2440, 0.2440, 0.6894], [0.5054, 0.5054, 0.5236]]}



{"formula": "KLiW4", "functional": "SCAN", "state": "PBEsol geometry", "space_group": "F-43m, No. 216", "formation_energy_ev_per_atom": 1.35, "rho_g_cm3": 11.5, "crystal_system": "cubic", "magnetic_moment_mub_per_fu": 0.00, "lattice_angstrom": [[0.0000, 3.8381, 3.8381], [3.8381, 0.0000, 3.8381], [3.8381, 3.8381, 0.0000]], "species": ["K", "Li", "W", "W", "W", "W"], "fractional_positions": [[0.0000, 0.0000, 0.0000], [0.2500, 0.2500, 0.2500], [0.1225, 0.6258, 0.6258], [0.6258, 0.1225, 0.6258], [0.6258, 0.6258, 0.1225], [0.6258, 0.6258, 0.6258]]}



{"formula": "BeRuPt2", "functional": "SCAN", "state": "PBEsol geometry", "space_group": "Pmmm, No. 47", "formation_energy_ev_per_atom": -0.23, "rho_g_cm3": 15.7, "crystal_system": "orthorhombic", "magnetic_moment_mub_per_fu": 0.00, "lattice_angstrom": [[2.6980, 0.0000, 0.0000], [0.0000, 3.7207, 0.0000], [0.0000, 0.0000, 5.2726]], "species": ["Be", "Ru", "Pt", "Pt"], "fractional_positions": [[0.0000, 0.0000, 0.0000], [0.0000, 0.0000, 0.5000], [0.5000, 0.5000, 0.2450], [0.5000, 0.5000, 0.7550]]}



Please write out number 1 again, unchanged.
{"formula": "MgAgRu2", "functional": "SCAN", "state": "PBEsol geometry", "space_group": "Cm, No. 8", "formation_energy_ev_per_atom": 0.19, "rho_g_cm3": 9.3, "crystal_system": "monoclinic", "magnetic_moment_mub_per_fu": 0.00, "lattice_angstrom": [[4.4295, -1.3928, 0.0000], [4.4295, 1.3928, 0.0000], [-0.7559, 0.0000, 4.8507]], "species": ["Mg", "Ag", "Ru", "Ru"], "fractional_positions": [[0.0000, 0.0000, 0.0000], [0.7534, 0.7534, 0.2079], [0.2440, 0.2440, 0.6894], [0.5054, 0.5054, 0.5236]]}